# CsSc2W (PBE-GGA, relaxed)
data_CsSc2W
_symmetry_space_group_name_H-M 'R -3 m'
_symmetry_Int_Tables_number 166
_symmetry_space_group_name_Hall '-R 3 2"'
_cell_length_a 3.1977
_cell_length_b 3.1977
_cell_length_c 36.6875
_cell_angle_alpha 90.00
_cell_angle_beta 90.00
_cell_angle_gamma 120.00
loop_
_atom_site_label
_atom_site_type_symbol
_atom_site_fract_x
_atom_site_fract_y
_atom_site_fract_z
Cs1 Cs 0.0000 0.0000 0.0000
Sc1 Sc 0.0000 0.0000 0.4292
W1 W 0.0000 0.0000 0.5000
# **Calculated volume**: 27.07 A^3/atom
# **Formation energy**: 1138 meV/atom
# **DOS(E_F)**: 0.601 states/eV/atom
# **Calculated total energy**: -5.4791 eV/atom